BaSrCa2: relaxed, PBEsol.

Results
E_tot = -2.0269 eV/atom
formation energy = 0.037 eV per atom
total magnetization = 0.0 μB/cell
SG = C2/m (12)
energy relative to the lowest polymorph listed for this composition = 19 meV/atom
calculated volume = 189.2 Å³/cell

a = 7.0205 Å, b = 7.0205 Å, c = 7.0820 Å
α = 98.73°, β = 98.73°, γ = 33.30°
Closest atoms and distances in Å follow each position.
Fractional coordinates of all 4 atoms:
Ba 0.0000 0.0000 0.0000  2 Ba 4.02, 6 Ca 4.04-4.10, 4 Sr 4.07
Sr 0.5000 0.5000 0.5000  2 Sr 4.02, 6 Ca 4.04-4.05, 4 Ba 4.07
Ca 0.2487 0.2487 0.7457  6 Ca 4.02-4.12, 3 Sr 4.04-4.05, 3 Ba 4.04-4.10
Ca 0.7513 0.7513 0.2543  6 Ca 4.02-4.12, 3 Sr 4.04-4.05, 3 Ba 4.04-4.10

***

BaSrCa2: relaxed, PBEsol.

Results
E_tot = -2.0456 eV/atom
formation energy = 0.018 eV per atom
total magnetization = 0.0 μB/cell
SG = F-43m (216)
energy relative to the lowest polymorph listed for this composition = 0 meV/atom
calculated volume = 186.6 Å³/cell

a = 6.4139 Å, b = 6.4139 Å, c = 6.4139 Å
α = 60.00°, β = 60.00°, γ = 60.00°
Closest atoms and distances in Å follow each position.
Fractional coordinates of all 4 atoms:
Ba 0.0000 0.0000 0.0000  4 Ca 3.93, 4 Sr 3.93
Sr 0.2500 0.2500 0.2500  4 Ba 3.93, 4 Ca 3.93
Ca 0.5000 0.5000 0.5000  4 Ca 3.93, 4 Sr 3.93
Ca 0.7500 0.7500 0.7500  4 Ba 3.93, 4 Ca 3.93

***

BaSrCa: relaxed, PBEsol.

Results
E_tot = -2.0162 eV/atom
formation energy = 0.025 eV per atom
total magnetization = 0.0 μB/cell
SG = I4mm (107)
calculated volume = 151.2 Å³/cell

a = 9.0480 Å, b = 9.0480 Å, c = 9.0480 Å
α = 153.12°, β = 153.12°, γ = 38.39°
Closest atoms and distances in Å follow each position.
Fractional coordinates of all 3 atoms:
Ba 0.0000 0.0000 0.0000  4 Ca 4.09, 4 Ba 4.21, 4 Sr 4.28
Sr 0.3199 0.3199 0.0000  4 Ca 3.99, 4 Sr 4.21, 4 Ba 4.28
Ca 0.6641 0.6641 0.0000  4 Sr 3.99, 4 Ba 4.09, 4 Ca 4.21